# 1
{
  "formula": "CsUSe2",
  "functional": "PBE-GGA",
  "state": "optimized geometry",
  "lattice_angstrom": [[-3.316, 1.316, 0.866], [-1.437, -3.355, -0.404], [1.500, -1.633, 8.229]],
  "species": ["Se", "Cs", "Se", "U"],
  "frac_coords": [[0.000, 0.000, 0.807], [0.500, 0.500, 0.500], [0.000, 0.000, 0.193], [0.500, 0.500, 0.000]],
  "dft_energy_ev_per_atom": -5.86,
  "raw_formation_energy_ev_per_atom": -1.086
}


# 2
{
  "formula": "Te2I13",
  "functional": "PBE-GGA",
  "state": "optimized geometry",
  "lattice_angstrom": [[0.186, 7.733, 1.287], [-3.059, -1.592, 11.474], [8.873, 2.453, -0.969]],
  "species": ["I", "I", "I", "Te", "I", "I", "I", "I", "I", "I", "I", "I", "I", "Te", "I"],
  "frac_coords": [[0.497, 0.204, 0.129], [0.373, 0.464, 0.904], [0.503, 0.796, 0.871], [0.857, 0.824, 0.708], [0.797, 0.058, 0.407], [0.203, 0.942, 0.593], [0.650, 0.112, 0.747], [0.350, 0.888, 0.253], [0.041, 0.623, 0.700], [0.751, 0.683, 0.390], [0.249, 0.317, 0.610], [0.000, 0.000, 0.000], [0.627, 0.536, 0.096], [0.143, 0.176, 0.292], [0.959, 0.377, 0.300]],
  "dft_energy_ev_per_atom": -1.76,
  "raw_formation_energy_ev_per_atom": -0.001
}


# 3
{
  "formula": "TlNiGe2Pb",
  "functional": "PBE-GGA",
  "state": "optimized geometry",
  "lattice_angstrom": [[-1.625, 3.316, -3.755], [-4.891, -3.176, -0.688], [-2.419, 2.937, 3.641]],
  "species": ["Ge", "Ni", "Ge", "Tl", "Pb"],
  "frac_coords": [[0.500, 0.000, 0.000], [0.500, 0.500, 0.500], [0.000, 0.000, 0.500], [0.000, 0.000, 0.000], [0.000, 0.500, 0.000]],
  "dft_energy_ev_per_atom": -2.84,
  "formation_enthalpy_0k_mev_per_atom": 1377
}